[1]
# SrLi2BePt

SrLi2BePt after structural relaxation (PBE, Alexandria via LeMat-Bulk).

Lattice parameters (Å, degrees): 4.8167 4.8167 4.4755 90.00 90.00 90.00
Space group P4/mmm (No. 123)
Asymmetric unit:
Sr  0.0000  0.0000  0.0000 (multiplicity 1)
Li  0.0000  0.5000  0.5000 (multiplicity 2)
Be  0.5000  0.5000  0.0000 (multiplicity 1)
Pt  0.5000  0.5000  0.5000 (multiplicity 1)

Output
* energy above the most stable polymorph in this dataset: 15 meV/atom
* mass density: 4887 kg/m3
* raw total energy: -3.2869 eV per atom
* calculated formation energy: -0.23 eV/atom
* calculated volume: 20.77 A^3/atom


[2]
# LiTa2BePt

LiTa2BePt after structural relaxation (PBE, Alexandria via LeMat-Bulk).

Lattice parameters (Å, degrees): 4.4203 4.4203 3.9379 90.00 90.00 90.00
Space group P4/mmm (No. 123)
Asymmetric unit:
Li  0.0000  0.0000  0.0000 (multiplicity 1)
Ta  0.0000  0.5000  0.5000 (multiplicity 2)
Be  0.0000  0.0000  0.5000 (multiplicity 1)
Pt  0.5000  0.5000  0.0000 (multiplicity 1)

Output
* mass density: 12365 kg/m3
* raw total energy: -6.6811 eV per atom
* calculated formation energy: 0.40 eV/atom
* calculated volume: 15.39 A^3/atom


[3]
# LiTaBe2Pt

LiTaBe2Pt after structural relaxation (PBE, Alexandria via LeMat-Bulk).

Lattice parameters (Å, degrees): 4.3360 4.3360 4.4954 90.00 90.00 90.00
Space group P4/mmm (No. 123)
Asymmetric unit:
Li  0.0000  0.0000  0.0000 (multiplicity 1)
Ta  0.0000  0.0000  0.5000 (multiplicity 1)
Be  0.0000  0.5000  0.5000 (multiplicity 2)
Pt  0.5000  0.5000  0.0000 (multiplicity 1)

Output
* mass density: 7878 kg/m3
* raw total energy: -3.7610 eV per atom
* calculated formation energy: 1.69 eV/atom
* calculated volume: 16.90 A^3/atom


[4]
# LiTb2Be3Pt4

LiTb2Be3Pt4 after structural relaxation (PBE, Alexandria via LeMat-Bulk).

Lattice parameters (Å, degrees): 4.0013 4.0013 9.8819 90.00 90.00 90.00
Space group P-4m2 (No. 115)
Asymmetric unit:
Li  0.0000  0.0000  0.0000 (multiplicity 1)
Tb  0.0000  0.5000  0.7464 (multiplicity 2)
Be  0.0000  0.5000  0.3785 (multiplicity 2)
Be  0.5000  0.5000  0.0000 (multiplicity 1)
Pt  0.0000  0.0000  0.5000 (multiplicity 1)
Pt  0.0000  0.5000  0.1428 (multiplicity 2)
Pt  0.5000  0.5000  0.5000 (multiplicity 1)

Output
* mass density: 11883 kg/m3
* raw total energy: -5.5362 eV per atom
* calculated formation energy: -0.88 eV/atom
* calculated volume: 15.82 A^3/atom


[5]
# LiBeTePt2

LiBeTePt2 after structural relaxation (PBE, Alexandria via LeMat-Bulk).

Lattice parameters (Å, degrees): 4.4156 4.4156 4.0914 90.00 90.00 90.00
Space group P4/mmm (No. 123)
Asymmetric unit:
Li  0.0000  0.0000  0.0000 (multiplicity 1)
Be  0.0000  0.0000  0.5000 (multiplicity 1)
Te  0.5000  0.5000  0.5000 (multiplicity 1)
Pt  0.0000  0.5000  0.0000 (multiplicity 2)

Output
* mass density: 11110 kg/m3
* raw total energy: -3.7542 eV per atom
* E_form (uncorrected): 0.418 eV per atom
* calculated volume: 15.95 A^3/atom


[6]
# LiTh2Be2Pt7

LiTh2Be2Pt7 after structural relaxation (PBE, Alexandria via LeMat-Bulk).

Lattice parameters (Å, degrees): 5.6764 5.6262 13.1043 90.00 99.04 90.00
Space group C2/m (No. 12)
Asymmetric unit:
Li  0.0000  0.0000  0.0000 (multiplicity 2)
Th  0.1156  0.0000  0.3369 (multiplicity 4)
Be  0.0887  0.5000  0.2436 (multiplicity 4)
Pt  0.0000  0.5000  0.0000 (multiplicity 2)
Pt  0.1424  0.5000  0.4228 (multiplicity 4)
Pt  0.1944  0.2503  0.8456 (multiplicity 8)

Output
* mass density: 14903 kg/m3
* raw total energy: -6.4423 eV per atom
* calculated formation energy: -0.90 eV/atom
* calculated volume: 17.22 A^3/atom


[7]
# LiTh2Be3Pt4

LiTh2Be3Pt4 after structural relaxation (PBE, Alexandria via LeMat-Bulk).

Lattice parameters (Å, degrees): 4.0173 4.0173 10.3209 90.00 90.00 90.00
Space group P-4m2 (No. 115)
Asymmetric unit:
Li  0.0000  0.0000  0.0000 (multiplicity 1)
Th  0.0000  0.5000  0.7465 (multiplicity 2)
Be  0.0000  0.5000  0.3821 (multiplicity 2)
Be  0.5000  0.5000  0.0000 (multiplicity 1)
Pt  0.0000  0.0000  0.5000 (multiplicity 1)
Pt  0.0000  0.5000  0.1476 (multiplicity 2)
Pt  0.5000  0.5000  0.5000 (multiplicity 1)

Output
* mass density: 12744 kg/m3
* raw total energy: -6.0649 eV per atom
* calculated formation energy: -0.86 eV/atom
* calculated volume: 16.66 A^3/atom


[8]
# LiTm2Be3Pt4

LiTm2Be3Pt4 after structural relaxation (PBE, Alexandria via LeMat-Bulk).

Lattice parameters (Å, degrees): 3.9665 3.9665 9.8265 90.00 90.00 90.00
Space group P-4m2 (No. 115)
Asymmetric unit:
Li  0.0000  0.0000  0.0000 (multiplicity 1)
Tm  0.0000  0.5000  0.7457 (multiplicity 2)
Be  0.0000  0.5000  0.3767 (multiplicity 2)
Be  0.5000  0.5000  0.0000 (multiplicity 1)
Pt  0.0000  0.0000  0.5000 (multiplicity 1)
Pt  0.0000  0.5000  0.1441 (multiplicity 2)
Pt  0.5000  0.5000  0.5000 (multiplicity 1)

Output
* mass density: 12375 kg/m3
* raw total energy: -5.5161 eV per atom
* calculated formation energy: -0.90 eV/atom
* calculated volume: 15.46 A^3/atom